(1)
5
Lattice="5.588 0.000 0.000 0.000 5.588 0.000 0.000 0.000 5.588" Properties=species:S:1:pos:R:3 comment="NaZn3Br, optimized geometry, DFT GGA-PBE" mass_density_g_cm3=2.8 formation_energy_uncorrected_ev_per_atom=0.336 vol_a3_per_cell=174.5 magnetic_moment_mub_per_cell=0.000 pbc="T T T"
Zn 0.000 0.000 2.794
Zn 2.794 0.000 0.000
Zn 0.000 2.794 0.000
Na 0.000 0.000 0.000
Br 2.794 2.794 2.794

---

(2)
19
Lattice="-0.226 -4.434 6.605 -0.852 -6.918 -3.840 7.770 -1.721 -0.056" Properties=species:S:1:pos:R:3 comment="Rb2Cd15Sn2, optimized geometry, DFT GGA-PBE" mass_density_g_cm3=7.0 ef_ev_per_atom=-0.045 vol_a3_per_cell=498.7 magnetic_moment_mub_per_cell=0.000 pbc="T T T"
Cd 1.755 -5.347 -2.696
Cd -0.415 -5.185 3.447
Cd 6.141 -5.451 0.929
Cd -0.113 -2.217 3.302
Cd 1.948 -7.979 -0.912
Cd 3.885 -0.860 -0.028
Cd 5.352 -2.541 1.958
Cd 2.252 -6.771 4.168
Cd 5.163 -3.292 -1.200
Cd 2.191 -3.614 4.591
Cd 4.744 -5.094 3.620
Cd -0.663 -6.167 -0.682
Cd 4.440 -6.302 -1.460
Cd 0.551 -7.622 1.780
Cd -0.426 -3.459 -1.920
Sn 6.020 -11.760 2.436
Sn 0.672 -1.313 0.272
Rb 4.412 -8.619 1.786
Rb 2.280 -4.454 0.923